The following is a GGA-PBE calculation of Mg2Zn2Pt after structural relaxation, from Alexandria.

a = 6.837 Å, b = 6.837 Å, c = 3.910 Å
α = 90.00°, β = 90.00°, γ = 90.00°
Positions (direct):
Mg 0.156 0.344 0.000
Mg 0.344 0.844 0.000
Mg 0.656 0.156 0.000
Mg 0.844 0.656 0.000
Zn 0.144 0.644 0.500
Zn 0.356 0.144 0.500
Zn 0.644 0.856 0.500
Zn 0.856 0.356 0.500
Pt 0.000 0.000 0.000
Pt 0.500 0.500 0.000

Calculated values
The total magnetization comes out at 0.00 μB/cell. The calculation puts the total DFT energy (no corrections) at -2.405 eV/atom. The value obtained for the theoretical density is 6.80 g/cm3. Its energy above the lowest structure with this stoichiometry is 0.272 eV per atom.

---

The following is a GGA-PBE calculation of Mg2ZnPt6 after structural relaxation, from Alexandria.

a = 8.045 Å, b = 8.045 Å, c = 2.840 Å
α = 100.07°, β = 100.07°, γ = 57.57°
Positions (direct):
Mg 0.162 0.162 0.163
Mg 0.838 0.838 0.837
Zn 0.500 0.500 0.500
Pt 0.119 0.546 0.333
Pt 0.225 0.775 0.000
Pt 0.454 0.881 0.667
Pt 0.546 0.119 0.333
Pt 0.775 0.225 0.000
Pt 0.881 0.454 0.667

Calculated values
The total magnetization comes out at 0.00 μB/cell. The calculation puts the total DFT energy (no corrections) at -4.970 eV/atom. The value obtained for the theoretical density is 14.03 g/cm3.

---

The following is a GGA-PBE calculation of MgZnPt after structural relaxation, from Alexandria.

a = 4.391 Å, b = 4.391 Å, c = 2.920 Å
α = 90.00°, β = 90.00°, γ = 120.00°
Positions (direct):
Mg 0.000 0.000 0.000
Zn 0.333 0.667 0.500
Pt 0.667 0.333 0.500

Calculated values
The total magnetization comes out at 0.00 μB/cell. The calculation puts the total DFT energy (no corrections) at -3.564 eV/atom. The value obtained for the theoretical density is 9.70 g/cm3.